No. 1
# CaAcTl4O8

Crystalline CaAcTl4O8 at its relaxed geometry (PBE, Alexandria).

Unit cell a=7.0056 b=7.0056 c=6.9680 alpha=59.82 beta=59.82 gamma=60.00
Fractional positions:
Tl (0.0004, 0.0004, 0.4993)
Tl (0.0004, 0.4998, 0.4993)
Tl (0.6221, 0.6221, 0.1337)
Tl (0.4998, 0.0004, 0.4993)
O (0.7601, 0.7601, 0.7196)
O (0.7943, 0.2379, 0.7300)
O (0.7549, 0.7549, 0.2716)
O (0.2379, 0.7943, 0.7300)
O (0.2379, 0.2379, 0.7300)
O (0.2379, 0.2379, 0.2862)
O (0.7549, 0.2186, 0.2716)
O (0.2186, 0.7549, 0.2716)
Ac (0.3807, 0.3807, 0.8578)
Ca (0.0000, 0.0000, 0.0000)

Values from the calculation:
Its space group is R3m (160). The formation energy from raw total energies comes out at -1.461 eV per atom. The value obtained for the uncorrected energy is -5.41 eV per atom. Its total magnetization is 0.000 μB per formula unit. The calculation puts the density of states at the Fermi level at 1.96 states/eV/cell.

=====

No. 2
# CaAc2TlO6

Crystalline CaAc2TlO6 at its relaxed geometry (PBE, Alexandria).

Unit cell a=5.9899 b=6.2608 c=8.7251 alpha=90.00 beta=90.56 gamma=90.00
Site moments in Bohr magnetons follow the coordinates.
Fractional positions:
Ac (0.0192, 0.9412, 0.2494)  0.01
Ac (0.4808, 0.4412, 0.2506)  0.01
Ac (0.9808, 0.0588, 0.7506)  0.01
Ac (0.5192, 0.5588, 0.7494)  0.01
O (0.6910, 0.2992, 0.5694)  0.13
O (0.1257, 0.4389, 0.7522)  0.14
O (0.8090, 0.7992, 0.9306)  0.13
O (0.1910, 0.2008, 0.0694)  0.13
O (0.6990, 0.3055, 0.9345)  0.15
O (0.1990, 0.1945, 0.4345)  0.15
O (0.8010, 0.8055, 0.5655)  0.15
O (0.3010, 0.6945, 0.0655)  0.15
O (0.6257, 0.0611, 0.2522)  0.14
O (0.3090, 0.7008, 0.4306)  0.13
O (0.8743, 0.5611, 0.2478)  0.14
O (0.3743, 0.9389, 0.7478)  0.14
Ca (0.5000, 0.0000, 0.0000)  0.00
Ca (0.0000, 0.5000, 0.5000)  0.00
Tl (0.5000, 0.0000, 0.5000)  0.02
Tl (0.0000, 0.5000, 0.0000)  0.02

Values from the calculation:
Its space group is P2_1/c (14). The formation energy from raw total energies comes out at -2.365 eV per atom. The value obtained for the uncorrected energy is -6.60 eV per atom. Its total magnetization is 1.031 μB per formula unit. The calculation puts the density of states at the Fermi level at 17.56 states/eV/cell.

=====

No. 3
# CaAc2TlO5

Crystalline CaAc2TlO5 at its relaxed geometry (PBE, Alexandria).

Unit cell a=3.6630 b=7.7056 c=11.8967 alpha=90.00 beta=90.00 gamma=103.75
Fractional positions:
O (0.5047, 0.0094, 0.2695)
O (0.9225, 0.8450, 0.5404)
O (0.0775, 0.1550, 0.0404)
O (0.3641, 0.7282, 0.0794)
O (0.7249, 0.4498, 0.8509)
O (0.2751, 0.5502, 0.3509)
O (0.4953, 0.9906, 0.7695)
O (0.6359, 0.2718, 0.5794)
O (0.7106, 0.4211, 0.1497)
O (0.2894, 0.5789, 0.6497)
Ca (0.2289, 0.4578, 0.9924)
Ca (0.7711, 0.5422, 0.4924)
Ac (0.1263, 0.2525, 0.2432)
Ac (0.8653, 0.7307, 0.2196)
Ac (0.8737, 0.7475, 0.7432)
Ac (0.1347, 0.2693, 0.7196)
Tl (0.5008, 0.0017, 0.9788)
Tl (0.4992, 0.9983, 0.4788)

Values from the calculation:
Its space group is Cmc2_1 (36). The formation energy from raw total energies comes out at -2.492 eV per atom. The value obtained for the uncorrected energy is -6.64 eV per atom. Its total magnetization is 0.000 μB per formula unit. The calculation puts the density of states at the Fermi level at 3.94 states/eV/cell.

=====

No. 4
# CaAc2UO8

Crystalline CaAc2UO8 at its relaxed geometry (PBE, Alexandria).

Unit cell a=4.2254 b=5.5362 c=7.9087 alpha=89.99 beta=90.00 gamma=90.00
Site moments in Bohr magnetons follow the coordinates.
Fractional positions:
O (0.5000, 0.2264, 0.5001)  0.43
O (0.0000, 0.7647, 0.7934)  0.07
O (0.5000, 0.7929, 0.0000)  0.31
O (0.5000, 0.2071, 0.0000)  0.31
O (0.0000, 0.2353, 0.2066)  0.07
O (0.5000, 0.7736, 0.4999)  0.43
O (0.0000, 0.2355, 0.7936)  0.07
O (0.0000, 0.7645, 0.2064)  0.07
Ac (0.5000, 0.4999, 0.2462)  0.04
Ac (0.5000, 0.5001, 0.7538)  0.04
U (0.0000, 0.0000, 0.0000)  -0.09
Ca (0.0000, 0.0000, 0.5000)  -0.01

Values from the calculation:
Its space group is Pmmm (47). The formation energy from raw total energies comes out at -2.895 eV per atom. The value obtained for the uncorrected energy is -7.99 eV per atom. Its total magnetization is 2.046 μB per formula unit. The calculation puts the density of states at the Fermi level at 3.33 states/eV/cell.

=====

No. 5
# CaAc2UO6

Crystalline CaAc2UO6 at its relaxed geometry (PBE, Alexandria).

Unit cell a=6.0584 b=6.2608 c=8.8113 alpha=90.00 beta=89.68 gamma=90.00
Site moments in Bohr magnetons follow the coordinates.
Fractional positions:
O (0.2083, 0.1910, 0.4385)  -0.03
O (0.8750, 0.5579, 0.2428)  -0.01
O (0.6250, 0.0579, 0.2572)  -0.01
O (0.3059, 0.7077, 0.4266)  -0.01
O (0.3750, 0.9421, 0.7428)  -0.01
O (0.1941, 0.2077, 0.0734)  -0.01
O (0.7083, 0.3090, 0.9385)  -0.03
O (0.8059, 0.7923, 0.9266)  -0.01
O (0.6941, 0.2923, 0.5734)  -0.01
O (0.7917, 0.8090, 0.5615)  -0.03
O (0.1250, 0.4421, 0.7572)  -0.01
O (0.2917, 0.6910, 0.0615)  -0.03
Ac (0.9838, 0.0515, 0.7479)  0.02
Ac (0.0162, 0.9485, 0.2521)  0.02
Ac (0.5162, 0.5515, 0.7521)  0.02
Ac (0.4838, 0.4485, 0.2479)  0.02
U (0.0000, 0.5000, 0.0000)  1.95
U (0.5000, 0.0000, 0.5000)  1.95
Ca (0.0000, 0.5000, 0.5000)  0.00
Ca (0.5000, 0.0000, 0.0000)  0.00

Values from the calculation:
Its space group is P2_1/c (14). The formation energy from raw total energies comes out at -3.217 eV per atom. The value obtained for the uncorrected energy is -8.34 eV per atom. Its total magnetization is 2.001 μB per formula unit. The calculation puts the density of states at the Fermi level at 7.16 states/eV/cell.

=====

No. 6
# Ca2AcUO6

Crystalline Ca2AcUO6 at its relaxed geometry (PBE, Alexandria).

Unit cell a=6.0103 b=6.0104 c=6.2596 alpha=61.31 beta=61.31 gamma=60.00
Site moments in Bohr magnetons follow the coordinates.
Fractional positions:
U (0.3180, 0.3180, 0.0461)  1.07
O (0.2177, 0.9491, 0.2423)  -0.02
O (0.5909, 0.2177, 0.2423)  -0.02
O (0.3985, 0.6878, 0.7723)  -0.02
O (0.9491, 0.5909, 0.2423)  -0.02
O (0.6878, 0.1414, 0.7723)  -0.02
O (0.1414, 0.3985, 0.7723)  -0.02
Ca (0.0224, 0.0224, 0.9328)  0.00
Ca (0.5315, 0.5315, 0.4055)  0.00
Ac (0.8043, 0.8043, 0.5871)  0.00

Values from the calculation:
Its space group is R3 (146). The formation energy from raw total energies comes out at -3.220 eV per atom. The value obtained for the uncorrected energy is -8.14 eV per atom. Its total magnetization is 1.000 μB per formula unit.

=====

Question: Which formula does entry 1 have?
Answer: CaAcTl4O8